VASP calculation (PBE) on crystalline NiPb2W at its relaxed geometry.

a = 5.651 Å, b = 5.651 Å, c = 5.212 Å
α = 71.62°, β = 71.62°, γ = 31.28°
Positions (direct):
Ni: 0.209 0.209 0.220
W: 0.541 0.541 0.524
Pb: 0.978 0.978 0.064
Pb: 0.773 0.773 0.692

Its total magnetization is 0.00 Bohr magnetons per cell. The relative energy among the computed polymorphs is 1.19 eV per formula unit. The calculated density comes out at 13.36 g/cm³. As for the formation energy: 0.697 eV per atom.